(1)
ZrAl2Fe | OQMD via LeMat-Bulk | GGA-PBE | relaxed; E_tot = -0.234 hartree per atom; crystal system = cubic
1.0
0.000 3.117 3.117
3.117 0.000 3.117
3.117 3.117 0.000
Al Fe Zr
2 1 1
direct
0.000 0.000 0.000
0.750 0.750 0.750
0.250 0.250 0.250
0.500 0.500 0.500

---

(2)
Zr2AlFe3 | OQMD via LeMat-Bulk | GGA-PBE | relaxed; E_tot = -0.294 hartree per atom; crystal system = hexagonal
1.0
-1.424 2.098 -4.339
-3.086 -3.163 2.394
-3.242 6.258 4.091
Al Fe Zr
2 6 4
direct
0.000 0.000 0.000
0.000 0.000 0.500
0.172 0.344 0.250
0.172 0.828 0.250
0.656 0.828 0.250
0.344 0.172 0.750
0.828 0.172 0.750
0.828 0.656 0.750
0.667 0.333 0.065
0.667 0.333 0.435
0.333 0.667 0.565
0.333 0.667 0.935

---

(3)
ZrAl2Fe | OQMD via LeMat-Bulk | GGA-PBE | relaxed; E_tot = -0.234 hartree per atom; crystal system = cubic
1.0
-1.627 -0.373 4.081
-3.338 -2.768 0.798
0.697 -3.682 2.323
Al Fe Zr
2 1 1
direct
0.000 0.000 0.000
0.750 0.750 0.750
0.500 0.500 0.500
0.250 0.250 0.250

---

(4)
Zr4Al5Fe2 | OQMD via LeMat-Bulk | GGA-PBE | relaxed; E_tot = -0.245 hartree per atom; crystal system = monoclinic
1.0
-4.790 -4.762 1.882
1.409 -2.164 -1.890
5.547 -2.076 6.512
Al Fe Zr
5 2 4
direct
0.948 0.000 0.186
0.317 0.000 0.345
0.000 0.000 0.500
0.683 0.000 0.655
0.052 0.000 0.814
0.572 0.000 0.141
0.428 0.000 0.859
0.273 0.500 0.054
0.668 0.500 0.359
0.332 0.500 0.641
0.727 0.500 0.946

---

(5)
Gd2AlGa5 | OQMD via LeMat-Bulk | GGA-PBE | relaxed; E_tot = -0.149 hartree per atom; crystal system = orthorhombic
1.0
4.539 0.000 0.000
0.000 3.176 5.461
0.000 -3.176 5.461
Al Ga Gd
1 5 2
direct
0.000 0.142 0.142
0.000 0.705 0.145
0.500 0.858 0.294
0.000 0.145 0.705
0.500 0.854 0.854
0.500 0.294 0.858
0.500 0.336 0.336
0.000 0.666 0.666

---

(6)
GdAlGa | OQMD via LeMat-Bulk | GGA-PBE | relaxed; E_tot = -0.153 hartree per atom; distance to the lowest polymorph of the same formula = 0.0000 eV per atom; crystal system = cubic
1.0
-1.293 -3.842 -2.165
0.018 -4.015 2.236
-3.971 -2.034 1.102
Al Ga Gd
1 1 1
direct
0.250 0.250 0.250
0.000 0.000 0.000
0.750 0.750 0.750